Record 1
Density functional theory data (PBE-GGA) for crystalline Cr2MoW at its relaxed geometry.

```
data_Cr2MoW
_space_group_name_H-M_alt 'R 3 m'
_space_group_IT_number 160
_space_group_name_Hall 'R 3 -2"'
_cell_length_a 2.7604
_cell_length_b 2.7604
_cell_length_c 25.9825
_cell_angle_alpha 90.00
_cell_angle_beta 90.00
_cell_angle_gamma 120.00
loop_
_atom_site_label
_atom_site_fract_x
_atom_site_fract_y
_atom_site_fract_z
_atom_site_occupancy
Cr1 0.0000 0.0000 0.0000 1
Cr2 0.0000 0.0000 0.2672 1
Mo1 0.0000 0.0000 0.5148 1
W1 0.0000 0.0000 0.7532 1
```

total moment = 0.00 μB/cell
crystal system = trigonal
raw total energy = -10.34 eV/atom
formation energy from the elements = 0.419 eV per atom

***

Record 2
Density functional theory data (PBE-GGA) for crystalline LaPm2Gd at its relaxed geometry.

```
data_LaPm2Gd
_space_group_name_H-M_alt 'F m -3 m'
_space_group_IT_number 225
_space_group_name_Hall '-F 4 2 3'
_cell_length_a 8.240
_cell_length_b 8.240
_cell_length_c 8.240
_cell_angle_alpha 90.00
_cell_angle_beta 90.00
_cell_angle_gamma 90.00
loop_
_atom_site_label
_atom_site_fract_x
_atom_site_fract_y
_atom_site_fract_z
_atom_site_occupancy
La1 0.000 0.000 0.000 1
Pm1 0.250 0.250 0.250 1
Gd1 0.000 0.000 0.500 1
```

total moment = 35.95 μB/cell
crystal system = cubic
offset from the most stable computed form = 0.1030 eV/atom
raw total energy = -7.01 eV/atom
formation energy from the elements = 0.118 eV per atom

***

Record 3
Density functional theory data (PBE-GGA) for crystalline MgAlGa2 at its relaxed geometry.

```
data_MgAlGa2
_space_group_name_H-M_alt 'P n m a'
_space_group_IT_number 62
_cell_length_a 6.960
_cell_length_b 4.285
_cell_length_c 10.079
_cell_angle_alpha 90.00
_cell_angle_beta 90.00
_cell_angle_gamma 90.00
loop_
_space_group_symop_operation_xyz
'x,y,z'
'-x,-y,-z'
'-x+1/2,-y,z+1/2'
'x+1/2,y,-z+1/2'
'x+1/2,-y+1/2,-z+1/2'
'-x+1/2,y+1/2,z+1/2'
'-x,y+1/2,-z'
'x,-y+1/2,z'
loop_
_atom_site_label
_atom_site_fract_x
_atom_site_fract_y
_atom_site_fract_z
_atom_site_occupancy
Mg1 0.242 0.250 0.186 1
Al1 0.060 0.750 0.418 1
Ga1 0.055 0.250 0.830 1
Ga2 0.195 0.750 0.974 1
```

total moment = 0.00 μB/cell
crystal system = orthorhombic
raw total energy = -2.92 eV/atom
formation energy from the elements = -0.073 eV per atom

***

Record 4
Density functional theory data (PBE-GGA) for crystalline AlCoGeBr2 at its relaxed geometry.

```
data_AlCoGeBr2
_space_group_name_H-M_alt 'P 4/m m m'
_space_group_IT_number 123
_space_group_name_Hall '-P 4 2'
_cell_length_a 4.849
_cell_length_b 4.849
_cell_length_c 4.777
_cell_angle_alpha 90.00
_cell_angle_beta 90.00
_cell_angle_gamma 90.00
loop_
_atom_site_label
_atom_site_fract_x
_atom_site_fract_y
_atom_site_fract_z
_atom_site_occupancy
Al1 0.000 0.000 0.000 1
Co1 0.000 0.000 0.500 1
Ge1 0.500 0.500 0.000 1
Br1 0.000 0.500 0.500 1
```

total moment = 0.81 μB/cell
crystal system = tetragonal
raw total energy = -3.31 eV/atom
energy relative to the elements, uncorrected = 0.45 eV per atom

***

Record 5
Density functional theory data (PBE-GGA) for crystalline Cu2PBr at its relaxed geometry.

```
data_Cu2PBr
_space_group_name_H-M_alt 'C 1 m 1'
_space_group_IT_number 8
_cell_length_a 7.065
_cell_length_b 4.046
_cell_length_c 5.830
_cell_angle_alpha 90.00
_cell_angle_beta 109.53
_cell_angle_gamma 90.00
loop_
_space_group_symop_operation_xyz
'x,y,z'
'x,-y,z'
'x+1/2,y+1/2,z'
'x+1/2,-y+1/2,z'
loop_
_atom_site_label
_atom_site_fract_x
_atom_site_fract_y
_atom_site_fract_z
_atom_site_occupancy
Cu1 0.000 0.000 0.000 1
Cu2 0.139 0.500 0.894 1
P1 0.304 0.000 0.887 1
Br1 0.246 0.000 0.437 1
```

total moment = 0.00 μB/cell
crystal system = monoclinic
offset from the most stable computed form = 0.0000 eV/atom
raw total energy = -3.83 eV/atom
energy relative to the elements, uncorrected = -0.01 eV per atom

***

Record 6
Density functional theory data (PBE-GGA) for crystalline ReAu at its relaxed geometry.

```
data_ReAu
_space_group_name_H-M_alt 'P 42/m n m'
_space_group_IT_number 136
_space_group_name_Hall '-P 4n 2n'
_cell_length_a 8.560
_cell_length_b 8.560
_cell_length_c 2.614
_cell_angle_alpha 90.00
_cell_angle_beta 90.00
_cell_angle_gamma 90.00
loop_
_atom_site_label
_atom_site_fract_x
_atom_site_fract_y
_atom_site_fract_z
_atom_site_occupancy
Re1 0.100 0.100 0.000 1
Au1 0.202 0.798 0.000 1
```

total moment = 0.00 μB/cell
crystal system = tetragonal
offset from the most stable computed form = 0.9083 eV/atom
raw total energy = -6.81 eV/atom
formation energy from the elements = 1.052 eV per atom